A relaxed BeNbSbPIr crystal. Source: Alexandria, functional GGA-PBE.

Lattice parameters (Å, degrees): 10.894 2.915 5.655 90.00 108.61 90.00
Atoms (fractional coordinates):
1 Be 0.000 0.000 0.000
2 Be 0.500 0.500 0.000
3 Nb 0.198 0.000 0.408
4 Nb 0.698 0.500 0.408
5 Sb 0.234 0.000 0.943
6 Sb 0.734 0.500 0.943
7 P 0.408 0.500 0.599
8 P 0.908 0.000 0.599
9 Ir 0.471 0.000 0.317
10 Ir 0.971 0.500 0.317

**Total magnetization**: 0.0 μB per cell
**Formation energy from raw total energies**: -0.190 eV/atom
**Uncorrected energy**: -6.63 eV/atom
**Relative energy among the computed polymorphs**: 0.203 eV/atom